DFT (PBE with a Hubbard U) results for a relaxed structure of Nb2CoIrO.

## Properties
Calculated total energy (eV per cell): -37.24

a = 4.8026 Å, b = 4.8026 Å, c = 3.3117 Å
α = 90.00°, β = 90.00°, γ = 90.00°
Last column: nearest neighbours and their distance in Å.
Space group P4/mmm (No. 123)
Unique sites:
Nb: 0.0000 0.5000 0.0000 x2  2 Co 2.40
Co: 0.0000 0.0000 0.0000 x1  2 O 1.66
Ir: 0.5000 0.5000 0.5000 x1  8 Nb 2.92
O: 0.0000 0.0000 0.5000 x1  2 Co 1.66